1.
Li2CoRu | the Alexandria database | meta-GGA SCAN | single point on PBEsol structure; crystal system = tetragonal; space group = I4/mmm, No. 139; formation energy = 217 meV per atom; magnetization = 2.64 μB/cell
1.0
-1.7032 1.7032 4.2256
1.7032 -1.7032 4.2256
1.7032 1.7032 -4.2256
Li Co Ru
2 1 1
Cartesian
1.7032 0.0000 2.1128 Li
0.0000 1.7032 2.1128 Li
0.0000 0.0000 0.0000 Co
0.0000 0.0000 4.2256 Ru

2.
RbAlF4 | the Alexandria database | meta-GGA SCAN | single point on PBEsol structure; crystal system = tetragonal; space group = I4/mcm, No. 140; formation energy (no corrections) = -3.6232 eV per atom; magnetization = 0.00 μB/cell
1.0
-2.5591 2.5591 6.2812
2.5591 -2.5591 6.2812
2.5591 2.5591 -6.2812
Rb Al F
2 2 8
Cartesian
2.5591 0.0000 3.1406 Rb
0.0000 2.5591 3.1406 Rb
0.0000 0.0000 0.0000 Al
0.0000 0.0000 6.2812 Al
0.0000 0.0000 1.7726 F
3.6072 1.0481 0.0000 F
1.0481 1.5110 0.0000 F
0.0000 0.0000 4.5086 F
0.0000 0.0000 8.0538 F
1.5110 1.0481 6.2812 F
-1.0481 1.5110 6.2812 F
0.0000 0.0000 10.7898 F

3.
Na3VSiCO7 | the Alexandria database | meta-GGA SCAN | single point on PBEsol structure; crystal system = monoclinic; space group = P2_1/m, No. 11; formation energy (no corrections) = -2.3334 eV per atom; magnetization = 4.00 μB/cell
1.0
5.1992 0.0000 0.0000
0.0000 6.5371 0.0000
-0.2789 0.0000 8.8800
Na V Si C O
6 2 2 2 14
Cartesian
1.1580 1.6343 0.7778 Na
1.1578 3.3528 6.4138 Na
1.1578 6.4528 6.4138 Na
3.7625 0.0843 2.4662 Na
3.7625 3.1843 2.4662 Na
3.7623 4.9028 8.1022 Na
1.0163 4.9028 3.0119 V
3.9039 1.6343 5.8681 V
1.3767 1.6343 3.7322 Si
3.5435 4.9028 5.1477 Si
1.4623 4.9028 0.5153 C
3.4580 1.6343 8.3647 C
0.2647 4.9028 1.0296 O
0.4732 1.6343 5.0883 O
1.0712 0.3247 2.7765 O
1.0712 2.9438 2.7765 O
1.3704 4.9028 8.1297 O
1.9461 4.9028 4.7561 O
2.4551 4.9028 1.3610 O
2.4651 1.6343 7.5190 O
2.9742 1.6343 4.1239 O
3.5499 1.6343 0.7503 O
3.8491 3.5933 6.1035 O
3.8491 6.2124 6.1035 O
4.4471 4.9028 3.7917 O
4.6556 1.6343 7.8503 O

4.
Sr2ZrBeCr | the Alexandria database | meta-GGA SCAN | single point on PBEsol structure; crystal system = tetragonal; space group = P4/mmm, No. 123; formation energy = 1355 meV per atom; magnetization = 1.79 μB/cell
1.0
6.0761 0.0000 0.0000
0.0000 6.0761 0.0000
0.0000 0.0000 4.4208
Sr Zr Be Cr
2 1 1 1
Cartesian
0.0000 3.0381 0.0000 Sr
3.0381 0.0000 0.0000 Sr
0.0000 0.0000 0.0000 Zr
3.0381 3.0381 2.2104 Be
0.0000 0.0000 2.2104 Cr